Arrangement w

Below is a relaxed La5CoBi2 crystal, with properties calculated at the PBE level.

a b c (Å): 8.434 12.821 4.761
angles (deg): 90.00 90.00 90.00
Space group Pbam (No. 55)
One atom of each set of equivalent atoms:
1 La 0.000 0.000 0.000 [2 per cell]
2 La 0.113 0.316 0.000 [4 per cell]
3 La 0.197 0.557 0.500 [4 per cell]
4 Co 0.000 0.500 0.000 [2 per cell]
5 Bi 0.090 0.823 0.500 [4 per cell]

Summary:
For the spin magnetization, the calculation gives 0.000 μB/cell. The value obtained for the theoretical density is 7.56 g/cm³.



Arrangement x

Below is a relaxed La5CoBi2 crystal, with properties calculated at the PBE level.

a b c (Å): 7.562 7.562 9.379
angles (deg): 90.00 90.00 90.00
Space group I4mm (No. 107)
One atom of each set of equivalent atoms:
1 La 0.000 0.000 0.000 [2 per cell]
2 La 0.246 0.246 0.723 [8 per cell]
3 Co 0.000 0.000 0.737 [2 per cell]
4 Bi 0.000 0.500 0.476 [4 per cell]

Summary:
For the spin magnetization, the calculation gives 0.000 μB/cell. The value obtained for the theoretical density is 7.25 g/cm³.



If you had to name the least stable structure above, which would it be? It would be arrangement x.